Computed, not measured: an optimized crystal structure of NdAlNi at the PBE level of DFT.

abc: 6.770 6.770 4.440
angles: 90.00 90.00 120.00
Sites, in units of the cell vectors:
1 Al 0.667 0.333 0.000
2 Al 0.000 0.000 0.500
3 Al 0.333 0.667 0.000
4 Nd 0.555 0.000 0.500
5 Nd 0.445 0.445 0.500
6 Nd 0.000 0.555 0.500
7 Ni 0.776 0.776 0.000
8 Ni 0.000 0.224 0.000
9 Ni 0.224 0.000 0.000

Output
* total DFT energy (no corrections): -44.62 eV/cell